Entry 1:
VASP calculation (PBE) on a geometry-optimized ThMgSc2 structure.

Summary:
uncorrected energy = -0.200 Ha/atom
excess energy over the best structure of this formula in the dataset = 0 kJ/mol of formula units
formation enthalpy at 0 K = -0.028 eV/atom

abc: 3.501 3.501 8.402
angles: 90.00 90.00 90.00
Fractional positions:
Sc  0.000  0.000  0.768
Sc  0.000  0.000  0.232
Th  0.500  0.500  0.500
Mg  0.500  0.500  0.000


Entry 2:
VASP calculation (PBE) on a geometry-optimized CaCe2Zn6 structure.

Summary:
uncorrected energy = -0.098 Ha/atom
formation enthalpy at 0 K = -0.271 eV/atom

abc: 3.409 7.982 7.982
angles: 60.01 89.99 89.99
Each line ends with the local moment (μB).
Fractional positions:
Zn  0.501  0.331  0.000  0.01
Zn  0.500  0.332  0.668  0.01
Zn  0.499  0.669  0.000  0.01
Zn  0.501  0.000  0.331  0.01
Zn  0.499  0.000  0.669  0.01
Zn  0.500  0.668  0.332  0.01
Ca  0.000  0.000  0.000  0.01
Ce  0.000  0.667  0.667  0.79
Ce  0.000  0.333  0.333  0.79


Entry 3:
VASP calculation (PBE) on a geometry-optimized HoIn3Au2 structure.

Summary:
uncorrected energy = -0.134 Ha/atom
formation enthalpy at 0 K = -0.428 eV/atom

abc: 4.383 7.467 8.474
angles: 90.00 90.00 90.00
Fractional positions:
In  0.000  0.469  0.905
In  0.500  0.145  0.810
In  0.000  0.363  0.302
In  0.000  0.969  0.095
In  0.500  0.645  0.190
In  0.000  0.863  0.698
Au  0.500  0.250  0.121
Au  0.000  0.244  0.613
Au  0.500  0.750  0.879
Au  0.000  0.744  0.387
Ho  0.500  0.529  0.577
Ho  0.500  0.029  0.423


Entry 4:
VASP calculation (PBE) on a geometry-optimized Mo5Pt structure.

Summary:
uncorrected energy = -0.364 Ha/atom
excess energy over the best structure of this formula in the dataset = 55 kJ/mol of formula units
formation enthalpy at 0 K = 0.117 eV/atom

abc: 7.814 7.814 4.654
angles: 90.00 90.00 160.40
Fractional positions:
Mo  0.669  0.331  0.000
Mo  0.770  0.230  0.500
Mo  0.339  0.661  0.000
Mo  0.006  0.994  0.000
Mo  0.441  0.559  0.500
Pt  0.109  0.891  0.500


Entry 5:
VASP calculation (PBE) on a geometry-optimized SiHg2Mo structure.

Summary:
uncorrected energy = -0.132 Ha/atom
ΔE_f (raw) = 620 meV/atom

abc: 4.850 3.891 3.891
angles: 90.00 90.00 90.00
Fractional positions:
Si  0.500  0.000  0.500
Hg  0.000  0.500  0.500
Hg  0.000  0.000  0.000
Mo  0.500  0.500  0.000


Entry 6:
VASP calculation (PBE) on a geometry-optimized CaEr2Co structure.

Summary:
uncorrected energy = -0.170 Ha/atom
excess energy over the best structure of this formula in the dataset = 0 kJ/mol of formula units
formation enthalpy at 0 K = -0.073 eV/atom

abc: 3.379 3.379 9.375
angles: 90.00 90.00 90.00
Each line ends with the local moment (μB).
Fractional positions:
Ca  0.500  0.500  0.500  0.00
Er  0.000  0.000  0.831  -0.11
Er  0.000  0.000  0.169  -0.11
Co  0.500  0.500  0.000  0.74


Which of these has the lowest uncorrected energy?
Mo5Pt


Which value of uncorrected energy does entry 2 give?
-0.098 Ha/atom


What is the uncorrected energy in the fifth record?
-0.132 Ha/atom


Number 1 is which compound?
ThMgSc2